# BeCr2Pt, optimized geometry, DFT PBE
data_BeCr2Pt
_cell_length_a 3.836
_cell_length_b 3.836
_cell_length_c 6.890
_cell_angle_alpha 90.00
_cell_angle_beta 90.00
_cell_angle_gamma 90.00
_symmetry_space_group_name_H-M 'I -4 m 2'
_symmetry_Int_Tables_number 119
_symmetry_space_group_name_Hall 'I -4 -2'
loop_
_atom_site_label
_atom_site_type_symbol
_atom_site_fract_x
_atom_site_fract_y
_atom_site_fract_z
_atom_site_occupancy
Be1 Be 0.000 0.000 0.000 1
Cr1 Cr 0.000 0.000 0.500 1
Cr2 Cr 0.000 0.500 0.750 1
Pt1 Pt 0.000 0.500 0.250 1
# Fermi-level density of states	3.68	states/eV/f.u.
# magnetization	0.82	μB per cell
# VASP energy	-7.3739	eV/atom